# Pr2SnRu

A relaxed structure of Pr2SnRu (PBE, Alexandria via LeMat-Bulk).

Summary:
crystal system: monoclinic
energy relative to the elements: -0.303 eV per atom

abc: 11.2348 5.2062 8.6841
angles: 90.00 112.65 90.00
Last column: nearest neighbours and their distance in Å.
Space group C2/c (No. 15)
One atom of each set of equivalent atoms:
Pr (0.1719, 0.0006, 0.0861)  2 Ru 2.81
Sn (0.0000, 0.4992, 0.2500)  2 Ru 2.60
Ru (0.0000, 0.0008, 0.7500)  2 Sn 2.60, 4 Pr 2.81